(1)
# Hf2AlGaAg | Alexandria | SCAN | PBEsol geometry
data_Hf2AlGaAg
_cell_length_a 4.546
_cell_length_b 4.931
_cell_length_c 4.931
_cell_angle_alpha 90.00
_cell_angle_beta 90.00
_cell_angle_gamma 90.00
_space_group_name_H-M_alt 'P 1'
_space_group_IT_number 1
_space_group_name_Hall 'P 1'
loop_
_atom_site_label
_atom_site_fract_x
_atom_site_fract_y
_atom_site_fract_z
_atom_site_occupancy
Hf1 0.000 0.000 0.500 1
Hf2 0.000 0.500 0.000 1
Ga1 0.500 0.500 0.500 1
Ag1 0.500 0.000 0.000 1
Al1 0.000 0.000 0.000 1
# DOS(E_F) ... 1.9 states/eV/f.u.


(2)
# LiScP2 | Alexandria | SCAN | PBEsol geometry
data_LiScP2
_cell_length_a 3.462
_cell_length_b 3.831
_cell_length_c 5.183
_cell_angle_alpha 111.69
_cell_angle_beta 109.51
_cell_angle_gamma 90.00
_space_group_name_H-M_alt 'P 1'
_space_group_IT_number 1
_space_group_name_Hall 'P 1'
loop_
_atom_site_label
_atom_site_fract_x
_atom_site_fract_y
_atom_site_fract_z
_atom_site_occupancy
Sc1 0.497 0.497 0.993 1
P1 0.017 0.017 0.035 1
P2 0.732 0.232 0.464 1
Li1 0.254 0.754 0.509 1
# DOS(E_F) ... 1.4 states/eV/f.u.


Listing E_form for the structures above in their given order: 0.68, -0.76 eV/atom.